## NaRhSO5 (PBE)

Data for NaRhSO5 after structural relaxation.

uncorrected formation energy	-116.2	kJ per mole of atoms
crystal system	monoclinic
M_tot	0.165	μB per atom

Cell and atoms, written as CIF:
```
data_NaRhSO5
_chemical_formula_sum 'Na4 Rh4 S4 O20'
_cell_length_a 6.9944
_cell_length_b 8.8330
_cell_length_c 6.9699
_cell_angle_alpha 90.00
_cell_angle_beta 110.04
_cell_angle_gamma 90.00
_symmetry_space_group_name_H-M 'C 1 2/c 1'
_symmetry_Int_Tables_number 15
loop_
_symmetry_equiv_pos_as_xyz
'x,y,z'
'-x,-y,-z'
'-x,y,-z+1/2'
'x,-y,z+1/2'
'x+1/2,y+1/2,z'
'-x+1/2,-y+1/2,-z'
'-x+1/2,y+1/2,-z+1/2'
'x+1/2,-y+1/2,z+1/2'
loop_
_atom_site_label
_atom_site_type_symbol
_atom_site_fract_x
_atom_site_fract_y
_atom_site_fract_z
Na1 Na 0.0000 0.1538 0.2500
Rh1 Rh 0.0000 0.5000 0.0000
S1 S 0.0000 0.1917 0.7500
O1 O 0.0000 0.4139 0.2500
O2 O 0.1183 0.2907 0.6526
O3 O 0.1434 0.0950 0.9087
```



## NaSbRhO2 (PBE)

Data for NaSbRhO2 after structural relaxation.

uncorrected formation energy	9.6	kJ per mole of atoms
crystal system	tetragonal
M_tot	0.444	μB per atom

Cell and atoms, written as CIF:
```
data_NaSbRhO2
_chemical_formula_sum 'Na1 Sb1 Rh1 O2'
_cell_length_a 3.9577
_cell_length_b 3.9577
_cell_length_c 5.6464
_cell_angle_alpha 90.00
_cell_angle_beta 90.00
_cell_angle_gamma 90.00
_symmetry_space_group_name_H-M 'P 4/m m m'
_symmetry_Int_Tables_number 123
_symmetry_space_group_name_Hall '-P 4 2'
loop_
_atom_site_label
_atom_site_type_symbol
_atom_site_fract_x
_atom_site_fract_y
_atom_site_fract_z
Na1 Na 0.0000 0.0000 0.0000
Sb1 Sb 0.5000 0.5000 0.0000
Rh1 Rh 0.0000 0.0000 0.5000
O1 O 0.0000 0.5000 0.5000
```



## NaSbRhO6 (PBE)

Data for NaSbRhO6 after structural relaxation.

uncorrected formation energy	-94.9	kJ per mole of atoms
crystal system	trigonal
M_tot	0.315	μB per atom

Cell and atoms, written as CIF:
```
data_NaSbRhO6
_chemical_formula_sum 'Na2 Sb2 Rh2 O12'
_cell_length_a 5.2852
_cell_length_b 5.2852
_cell_length_c 10.3963
_cell_angle_alpha 90.00
_cell_angle_beta 90.00
_cell_angle_gamma 120.00
_symmetry_space_group_name_H-M 'P -3 1 c'
_symmetry_Int_Tables_number 163
_symmetry_space_group_name_Hall '-P 3 2c'
loop_
_atom_site_label
_atom_site_type_symbol
_atom_site_fract_x
_atom_site_fract_y
_atom_site_fract_z
Na1 Na 0.0000 0.0000 0.0000
Sb1 Sb 0.3333 0.6667 0.2500
Rh1 Rh 0.3333 0.6667 0.7500
O1 O 0.0086 0.3785 0.6443
```



## NaSb2RhO8 (PBE)

Data for NaSb2RhO8 after structural relaxation.

uncorrected formation energy	-84.2	kJ per mole of atoms
crystal system	trigonal
M_tot	0.171	μB per atom

Cell and atoms, written as CIF:
```
data_NaSb2RhO8
_chemical_formula_sum 'Na1 Sb2 Rh1 O8'
_cell_length_a 5.5397
_cell_length_b 5.5397
_cell_length_c 6.3515
_cell_angle_alpha 90.00
_cell_angle_beta 90.00
_cell_angle_gamma 120.00
_symmetry_space_group_name_H-M 'P -3'
_symmetry_Int_Tables_number 147
loop_
_symmetry_equiv_pos_as_xyz
'x,y,z'
'-x,-y,-z'
'-y,x-y,z'
'y,-x+y,-z'
'-x+y,-x,z'
'x-y,x,-z'
loop_
_atom_site_label
_atom_site_type_symbol
_atom_site_fract_x
_atom_site_fract_y
_atom_site_fract_z
Na1 Na 0.0000 0.0000 0.0000
Sb1 Sb 0.3333 0.6667 0.4252
Rh1 Rh 0.0000 0.0000 0.5000
O1 O 0.0533 0.3511 0.6400
O2 O 0.3333 0.6667 0.1151
```



## Na2SbRhO4 (PBE)

Data for Na2SbRhO4 after structural relaxation.

uncorrected formation energy	-104.4	kJ per mole of atoms
crystal system	triclinic
M_tot	0.036	μB per atom

Cell and atoms, written as CIF:
```
data_Na2SbRhO4
_chemical_formula_sum 'Na2 Sb1 Rh1 O4'
_cell_length_a 5.2439
_cell_length_b 5.2627
_cell_length_c 5.2841
_cell_angle_alpha 105.98
_cell_angle_beta 111.15
_cell_angle_gamma 110.98
_symmetry_space_group_name_H-M 'P 1'
_symmetry_Int_Tables_number 1
loop_
_symmetry_equiv_pos_as_xyz
'x,y,z'
loop_
_atom_site_label
_atom_site_type_symbol
_atom_site_fract_x
_atom_site_fract_y
_atom_site_fract_z
Na1 Na 0.0000 0.0000 0.0000
Na2 Na 0.4955 0.2475 0.7479
Sb1 Sb 0.9925 0.4967 0.4961
Rh1 Rh 0.4952 0.7482 0.2471
O1 O 0.0318 0.5509 0.9076
O2 O 0.3520 0.4795 0.4430
O3 O 0.6380 0.0858 0.1218
O4 O 0.9593 0.8751 0.5179
```



## Na2SbRh2O6 (PBE)

Data for Na2SbRh2O6 after structural relaxation.

uncorrected formation energy	-110.6	kJ per mole of atoms
crystal system	monoclinic
M_tot	0.000	μB per atom

Cell and atoms, written as CIF:
```
data_Na2SbRh2O6
_chemical_formula_sum 'Na4 Sb2 Rh4 O12'
_cell_length_a 5.5398
_cell_length_b 9.5201
_cell_length_c 5.8234
_cell_angle_alpha 90.00
_cell_angle_beta 110.60
_cell_angle_gamma 90.00
_symmetry_space_group_name_H-M 'C 1 2/m 1'
_symmetry_Int_Tables_number 12
loop_
_symmetry_equiv_pos_as_xyz
'x,y,z'
'-x,-y,-z'
'-x,y,-z'
'x,-y,z'
'x+1/2,y+1/2,z'
'-x+1/2,-y+1/2,-z'
'-x+1/2,y+1/2,-z'
'x+1/2,-y+1/2,z'
loop_
_atom_site_label
_atom_site_type_symbol
_atom_site_fract_x
_atom_site_fract_y
_atom_site_fract_z
Na1 Na 0.0000 0.1769 0.0000
Sb1 Sb 0.0000 0.0000 0.5000
Rh1 Rh 0.0000 0.3345 0.5000
O1 O 0.2308 0.1667 0.6897
O2 O 0.2503 0.0000 0.3071
```



## Na3SbRh3O8 (PBE)

Data for Na3SbRh3O8 after structural relaxation.

uncorrected formation energy	-108.7	kJ per mole of atoms
crystal system	trigonal
M_tot	0.000	μB per atom

Cell and atoms, written as CIF:
```
data_Na3SbRh3O8
_chemical_formula_sum 'Na9 Sb3 Rh9 O24'
_cell_length_a 6.3329
_cell_length_b 6.3329
_cell_length_c 16.3829
_cell_angle_alpha 90.00
_cell_angle_beta 90.00
_cell_angle_gamma 120.00
_symmetry_space_group_name_H-M 'R -3 m'
_symmetry_Int_Tables_number 166
_symmetry_space_group_name_Hall '-R 3 2"'
loop_
_atom_site_label
_atom_site_type_symbol
_atom_site_fract_x
_atom_site_fract_y
_atom_site_fract_z
Na1 Na 0.0000 0.5000 0.0000
Sb1 Sb 0.0000 0.0000 0.5000
Rh1 Rh 0.0000 0.5000 0.5000
O1 O 0.0000 0.0000 0.2285
O2 O 0.0158 0.5079 0.2322
```



## Na2Sc2RhO6 (PBE)

Data for Na2Sc2RhO6 after structural relaxation.

uncorrected formation energy	-215.0	kJ per mole of atoms
crystal system	monoclinic
M_tot	0.096	μB per atom

Cell and atoms, written as CIF:
```
data_Na2Sc2RhO6
_chemical_formula_sum 'Na4 Sc4 Rh2 O12'
_cell_length_a 5.4250
_cell_length_b 9.3262
_cell_length_c 5.8371
_cell_angle_alpha 90.00
_cell_angle_beta 106.95
_cell_angle_gamma 90.00
_symmetry_space_group_name_H-M 'C 1 2/m 1'
_symmetry_Int_Tables_number 12
loop_
_symmetry_equiv_pos_as_xyz
'x,y,z'
'-x,-y,-z'
'-x,y,-z'
'x,-y,z'
'x+1/2,y+1/2,z'
'-x+1/2,-y+1/2,-z'
'-x+1/2,y+1/2,-z'
'x+1/2,-y+1/2,z'
loop_
_atom_site_label
_atom_site_type_symbol
_atom_site_fract_x
_atom_site_fract_y
_atom_site_fract_z
Na1 Na 0.0000 0.1611 0.0000
Sc1 Sc 0.0000 0.3364 0.5000
Rh1 Rh 0.0000 0.0000 0.5000
O1 O 0.2192 0.1647 0.6941
O2 O 0.2410 0.5000 0.6983
```



> Which of these has the highest M_tot?

NaSbRhO2



> M_tot of number 6 (Na2SbRh2O6)?

0.000 μB per atom